# Na2Mn2SbO6, relaxed, DFT PBE+U
data_Na2Mn2SbO6
_chemical_formula_sum 'Na4 Mn4 Sb2 O12'
_cell_length_a 5.2817
_cell_length_b 9.1429
_cell_length_c 5.8498
_cell_angle_alpha 90.00
_cell_angle_beta 108.92
_cell_angle_gamma 90.00
_space_group_name_H-M_alt 'C 1 2/m 1'
_space_group_IT_number 12
loop_
_space_group_symop_operation_xyz
'x,y,z'
'-x,-y,-z'
'-x,y,-z'
'x,-y,z'
'x+1/2,y+1/2,z'
'-x+1/2,-y+1/2,-z'
'-x+1/2,y+1/2,-z'
'x+1/2,-y+1/2,z'
loop_
_atom_site_label
_atom_site_type_symbol
_atom_site_fract_x
_atom_site_fract_y
_atom_site_fract_z
Na1 Na 0.0000 0.1732 0.0000
Mn1 Mn 0.0000 0.3334 0.5000
Sb1 Sb 0.0000 0.0000 0.5000
O1 O 0.2304 0.1674 0.6910
O2 O 0.2417 0.5000 0.6911
# * E: -131.424 eV/cell